[1]
Compound: ZnBPt2
Source: Alexandria
Functional: PBE-GGA
Structure: relaxed

Geometry as POSCAR:
```
ZnBPt2
1.0
-1.056 -3.003 0.905
1.937 -1.949 1.845
-2.071 0.666 5.847
Pt B Zn
2 1 1
Cartesian
-1.647 0.250 4.962
-0.138 -1.228 1.816
-1.482 -2.638 7.675
-0.591 -2.148 4.288
```

Values from the calculation:
space group	R3m, No. 160
M_tot	0.0	μB/f.u.
Fermi-level density of states	1.14	states/eV per cell
VASP energy	-5.240	eV per atom
formation energy	-22.33	kJ per mole of atoms
crystal system	trigonal

=====

[2]
Compound: Zn2B2Pt
Source: Alexandria
Functional: PBE-GGA
Structure: relaxed

Geometry as POSCAR:
```
Zn2B2Pt
1.0
-4.982 1.480 -2.186
1.183 -2.922 -4.674
-1.495 -2.907 1.439
B Zn Pt
4 4 2
Cartesian
-0.912 -2.032 -5.053
-0.050 -1.003 -2.078
-3.748 -0.440 -4.783
-2.887 0.590 -1.808
-4.440 -1.170 -2.543
-3.188 -2.827 -4.591
-0.854 -3.180 -2.879
-2.105 -1.523 -0.831
0.000 0.000 0.000
-1.899 -0.721 -3.430
```

Values from the calculation:
space group	P4/mbm, No. 127
M_tot	0.0	μB/f.u.
Fermi-level density of states	2.11	states/eV per cell
VASP energy	-4.331	eV per atom
formation energy	5.57	kJ per mole of atoms
crystal system	tetragonal

=====

[3]
Compound: ZnB3Pt
Source: Alexandria
Functional: PBE-GGA
Structure: relaxed

Geometry as POSCAR:
```
ZnB3Pt
1.0
4.177 0.000 0.000
0.000 4.177 0.000
0.000 0.000 4.177
B Pt Zn
3 1 1
Cartesian
0.000 2.088 0.000
0.000 0.000 2.088
2.088 0.000 0.000
0.000 0.000 0.000
2.088 2.088 2.088
```

Values from the calculation:
space group	Pm-3m, No. 221
M_tot	0.0	μB/f.u.
Fermi-level density of states	4.42	states/eV per cell
VASP energy	-4.292	eV per atom
formation energy	113.65	kJ per mole of atoms
crystal system	cubic

=====

[4]
Compound: ZnBPt2
Source: Alexandria
Functional: PBE-GGA
Structure: relaxed

Geometry as POSCAR:
```
ZnBPt2
1.0
-3.355 2.304 -2.435
4.018 -0.346 -3.321
-1.776 -4.901 0.350
B Pt Zn
2 4 2
Cartesian
-1.322 -0.837 -3.358
0.209 -2.105 -2.048
0.176 -2.070 -4.164
-1.288 -0.872 -1.242
0.678 -4.146 -2.202
-1.790 1.204 -3.204
0.447 0.554 -4.479
-1.560 -3.496 -0.927
```

Values from the calculation:
space group	C2/c, No. 15
M_tot	0.0	μB/f.u.
Fermi-level density of states	3.22	states/eV per cell
VASP energy	-5.229	eV per atom
formation energy	-21.28	kJ per mole of atoms
crystal system	monoclinic

=====

[5]
Compound: ZnB3Pt
Source: Alexandria
Functional: PBE-GGA
Structure: relaxed

Geometry as POSCAR:
```
ZnB3Pt
1.0
-1.224 -3.729 -0.435
2.774 -1.206 2.539
-2.530 0.482 2.994
B Zn Pt
3 1 1
Cartesian
-0.612 -1.865 -0.217
-1.265 0.241 1.497
1.387 -0.603 1.269
0.000 0.000 0.000
-0.490 -2.227 2.549
```

Values from the calculation:
space group	Pm-3m, No. 221
M_tot	0.0	μB/f.u.
Fermi-level density of states	2.42	states/eV per cell
VASP energy	-3.585	eV per atom
formation energy	181.82	kJ per mole of atoms
crystal system	cubic

=====

[6]
Compound: ZnBPt2
Source: Alexandria
Functional: PBE-GGA
Structure: relaxed

Geometry as POSCAR:
```
ZnBPt2
1.0
-1.436 -4.241 -4.818
4.550 -4.154 2.301
-0.247 -5.326 0.273
Pt B Zn
4 2 2
Cartesian
2.128 -10.964 -2.206
2.473 -4.842 0.468
-0.260 -4.117 -2.219
1.395 -7.519 -0.531
2.930 -6.839 0.657
1.557 -4.197 -1.258
-0.063 -6.882 -2.902
0.000 0.000 0.000
```

Values from the calculation:
space group	I-42d, No. 122
M_tot	0.0	μB/f.u.
Fermi-level density of states	2.71	states/eV per cell
VASP energy	-5.273	eV per atom
formation energy	-25.59	kJ per mole of atoms
crystal system	tetragonal

=====

[7]
Compound: ZnB2Pt
Source: Alexandria
Functional: PBE-GGA
Structure: relaxed

Geometry as POSCAR:
```
ZnB2Pt
1.0
5.048 0.000 0.000
0.000 5.048 0.000
2.524 2.524 4.595
B Zn Pt
4 2 2
Cartesian
3.939 1.262 1.149
1.109 3.786 1.149
6.310 6.463 3.446
3.786 3.633 3.446
2.524 2.524 0.000
2.524 5.048 2.298
0.000 0.000 0.000
5.048 2.524 2.298
```

Values from the calculation:
space group	I-42d, No. 122
M_tot	0.0	μB/f.u.
Fermi-level density of states	4.23	states/eV per cell
VASP energy	-4.595	eV per atom
formation energy	55.28	kJ per mole of atoms
crystal system	tetragonal

=====

[8]
Compound: ZrZnBPt2
Source: Alexandria
Functional: PBE-GGA
Structure: relaxed

Geometry as POSCAR:
```
ZrZnBPt2
1.0
-2.420 3.707 0.934
-3.466 -1.434 -3.288
-2.175 -2.244 3.272
B Zr Zn Pt
1 1 1 2
Cartesian
-4.030 0.015 0.459
-1.733 -0.717 -1.644
0.000 0.000 0.000
-1.088 -1.122 1.636
-1.210 1.854 0.467
```

Values from the calculation:
space group	P4/mmm, No. 123
M_tot	0.0	μB/f.u.
Fermi-level density of states	7.85	states/eV per cell
VASP energy	-4.373	eV per atom
formation energy	129.60	kJ per mole of atoms
crystal system	tetragonal

=====

[9]
Compound: Zr3BPt
Source: Alexandria
Functional: PBE-GGA
Structure: relaxed

Geometry as POSCAR:
```
Zr3BPt
1.0
-3.724 1.187 2.347
-0.765 -4.382 1.002
2.516 0.424 3.778
Pt Zr B
1 3 1
Cartesian
-0.987 -1.385 3.564
-0.383 -2.191 0.501
1.258 0.212 1.889
-1.862 0.593 1.173
0.000 0.000 0.000
```

Values from the calculation:
space group	Pm-3m, No. 221
M_tot	0.0	μB/f.u.
Fermi-level density of states	5.72	states/eV per cell
VASP energy	-8.057	eV per atom
formation energy	-37.06	kJ per mole of atoms
crystal system	cubic

=====

[10]
Compound: Zr2B2Pt
Source: Alexandria
Functional: PBE-GGA
Structure: relaxed

Geometry as POSCAR:
```
Zr2B2Pt
1.0
5.975 0.000 0.000
0.000 5.975 0.000
0.000 0.000 3.811
B Pt Zr
4 2 4
Cartesian
2.321 5.309 0.000
3.654 0.666 0.000
0.666 2.321 0.000
5.309 3.654 0.000
2.988 2.988 0.000
0.000 0.000 0.000
4.918 1.931 1.905
1.931 1.057 1.905
1.057 4.044 1.905
4.044 4.918 1.905
```

Values from the calculation:
space group	P4/mbm, No. 127
M_tot	0.0	μB/f.u.
Fermi-level density of states	3.46	states/eV per cell
VASP energy	-8.122	eV per atom
formation energy	-79.47	kJ per mole of atoms
crystal system	tetragonal

=====

[11]
Compound: ZrB2Pt
Source: Alexandria
Functional: PBE-GGA
Structure: relaxed

Geometry as POSCAR:
```
ZrB2Pt
1.0
0.000 2.918 2.918
2.918 0.000 2.918
2.918 2.918 0.000
B Zr Pt
2 1 1
Cartesian
1.459 1.459 1.459
4.377 4.377 4.377
0.000 0.000 0.000
2.918 2.918 2.918
```

Values from the calculation:
space group	Fm-3m, No. 225
M_tot	0.0	μB/f.u.
Fermi-level density of states	1.30	states/eV per cell
VASP energy	-6.831	eV per atom
formation energy	14.92	kJ per mole of atoms
crystal system	cubic

=====

[12]
Compound: Zr2BPt
Source: Alexandria
Functional: PBE-GGA
Structure: relaxed

Geometry as POSCAR:
```
Zr2BPt
1.0
-0.474 -2.044 6.324
6.646 -0.229 0.424
3.130 2.054 4.409
Zr Pt B
4 2 2
Cartesian
7.436 -0.437 9.191
4.974 0.678 5.857
4.855 0.019 2.455
1.340 -0.697 4.811
0.000 0.000 0.000
2.871 -0.563 7.054
3.086 -1.136 3.374
6.431 0.345 4.103
```

Values from the calculation:
space group	I-42d, No. 122
M_tot	0.0	μB/f.u.
Fermi-level density of states	3.99	states/eV per cell
VASP energy	-7.655	eV per atom
formation energy	-19.38	kJ per mole of atoms
crystal system	tetragonal

=====

[13]
Compound: ZrB3Pt
Source: Alexandria
Functional: PBE-GGA
Structure: relaxed

Geometry as POSCAR:
```
ZrB3Pt
1.0
4.286 0.000 0.000
0.000 4.286 0.000
0.000 0.000 4.286
Pt B Zr
1 3 1
Cartesian
2.143 2.143 2.143
2.143 0.000 0.000
0.000 2.143 0.000
0.000 0.000 2.143
0.000 0.000 0.000
```

Values from the calculation:
space group	Pm-3m, No. 221
M_tot	0.0	μB/f.u.
Fermi-level density of states	1.97	states/eV per cell
VASP energy	-4.944	eV per atom
formation energy	191.04	kJ per mole of atoms
crystal system	cubic

=====

[14]
Compound: ZrB2Pt
Source: Alexandria
Functional: PBE-GGA
Structure: relaxed

Geometry as POSCAR:
```
ZrB2Pt
1.0
-0.103 3.714 1.388
-2.452 -1.151 2.897
4.431 -0.153 6.404
Pt B Zr
2 4 2
Cartesian
1.525 2.421 4.968
0.000 0.000 0.000
-0.515 2.493 4.627
2.978 1.134 5.686
0.711 3.067 3.178
2.927 2.991 6.379
0.351 -0.011 5.722
-1.278 1.281 2.143
```

Values from the calculation:
space group	I4_1/amd, No. 141
M_tot	0.0	μB/f.u.
Fermi-level density of states	4.25	states/eV per cell
VASP energy	-7.123	eV per atom
formation energy	-13.19	kJ per mole of atoms
crystal system	tetragonal

=====

[15]
Compound: Zr2BPt2
Source: Alexandria
Functional: PBE-GGA
Structure: relaxed

Geometry as POSCAR:
```
Zr2BPt2
1.0
-7.027 1.212 0.126
-0.645 -3.072 -6.404
-0.531 -3.246 1.610
Pt Zr B
4 4 2
Cartesian
-1.608 -3.406 -3.232
-2.931 -1.586 0.000
-6.595 -1.699 -1.436
-5.273 -3.519 -4.668
-2.823 -2.142 -5.248
-1.434 -0.790 -2.065
-6.238 -1.069 -4.213
-4.850 0.282 -1.030
-3.836 -0.930 -3.139
0.000 0.000 0.000
```

Values from the calculation:
space group	P4/mbm, No. 127
M_tot	0.0	μB/f.u.
Fermi-level density of states	5.61	states/eV per cell
VASP energy	-7.367	eV per atom
formation energy	-18.88	kJ per mole of atoms
crystal system	tetragonal

=====

[16]
Compound: ZrB3Pt
Source: Alexandria
Functional: PBE-GGA
Structure: relaxed

Geometry as POSCAR:
```
ZrB3Pt
1.0
4.095 0.000 0.000
0.000 4.095 0.000
0.000 0.000 4.095
B Pt Zr
3 1 1
Cartesian
0.000 2.048 0.000
0.000 0.000 2.048
2.048 0.000 0.000
0.000 0.000 0.000
2.048 2.048 2.048
```

Values from the calculation:
space group	Pm-3m, No. 221
M_tot	0.0	μB/f.u.
Fermi-level density of states	3.12	states/eV per cell
VASP energy	-6.079	eV per atom
formation energy	81.52	kJ per mole of atoms
crystal system	cubic

=====

[17]
Compound: PuB
Source: Alexandria
Functional: PBE-GGA
Structure: relaxed

Geometry as POSCAR:
```
PuB
1.0
-2.305 -1.566 -1.495
2.505 -1.313 -2.488
-0.440 -3.331 4.168
B Pu
2 2
Cartesian
-1.668 -1.473 -0.903
1.427 -4.737 1.088
0.921 -2.248 -0.738
-1.161 -3.962 0.923
```

Values from the calculation:
space group	Cmcm, No. 63
M_tot	5.0	μB/f.u.
Fermi-level density of states	11.24	states/eV per cell
VASP energy	-10.654	eV per atom
formation energy	-14.37	kJ per mole of atoms
crystal system	orthorhombic

=====

[18]
Compound: PuB2
Source: Alexandria
Functional: PBE-GGA
Structure: relaxed

Geometry as POSCAR:
```
PuB2
1.0
-2.433 0.662 -0.283
-0.284 0.036 2.521
2.581 4.177 -1.046
B Pu
2 1
Cartesian
0.698 2.583 0.042
-0.834 2.291 1.150
0.000 0.000 0.000
```

Values from the calculation:
space group	I4/mmm, No. 139
M_tot	0.0	μB/f.u.
Fermi-level density of states	3.59	states/eV per cell
VASP energy	-8.518	eV per atom
formation energy	68.57	kJ per mole of atoms
crystal system	tetragonal

=====

[19]
Compound: PuB11
Source: Alexandria
Functional: PBE-GGA
Structure: relaxed

Geometry as POSCAR:
```
PuB11
1.0
7.459 0.000 3.401
3.729 4.947 1.701
1.677 0.000 6.202
B Pu
22 2
Cartesian
6.127 2.184 7.278
11.481 3.340 10.355
6.851 3.710 7.202
4.566 4.657 3.848
8.716 1.237 8.053
8.297 2.473 6.502
3.847 0.290 5.426
9.134 2.763 8.650
5.113 3.340 2.650
5.835 1.607 2.979
5.289 0.290 4.178
0.000 0.000 0.000
2.462 0.867 3.523
9.742 3.710 5.802
3.300 1.607 6.624
9.680 4.080 7.451
3.008 2.184 2.325
7.460 2.763 4.355
7.878 1.237 4.952
6.673 0.867 6.080
12.028 4.657 9.156
6.914 4.080 5.553
4.568 2.473 4.802
3.729 0.000 1.701
```

Values from the calculation:
space group	I4_1/amd, No. 141
M_tot	4.7	μB/f.u.
Fermi-level density of states	12.25	states/eV per cell
VASP energy	-6.651	eV per atom
formation energy	64.12	kJ per mole of atoms
crystal system	tetragonal

=====

[20]
Compound: PuB2
Source: Alexandria
Functional: PBE-GGA
Structure: relaxed

Geometry as POSCAR:
```
PuB2
1.0
-2.265 -2.171 0.396
2.375 0.204 2.078
-2.116 2.602 2.162
Pu B
1 2
Cartesian
0.000 0.000 0.000
-0.230 0.714 2.599
-1.777 -0.078 2.038
```

Values from the calculation:
space group	P6/mmm, No. 191
M_tot	4.2	μB/f.u.
Fermi-level density of states	5.96	states/eV per cell
VASP energy	-9.597	eV per atom
formation energy	-35.55	kJ per mole of atoms
crystal system	hexagonal